Entry 1:
Density functional theory data (PBE-GGA) for a geometry-optimized PaFe3B structure.

Values from the calculation:
For the uncorrected energy, the calculation gives -42.843 eV/f.u. The space group is Pm-3m.

a b c (Å): 3.9588 3.9588 3.9588
angles (deg): 90.00 90.00 90.00
Positions (direct):
Pa 0.0000 0.0000 0.0000
Fe 0.0000 0.5000 0.5000
Fe 0.5000 0.0000 0.5000
Fe 0.5000 0.5000 0.0000
B 0.5000 0.5000 0.5000

***

Entry 2:
Density functional theory data (PBE-GGA) for a geometry-optimized GaSbPt structure.

Values from the calculation:
For the uncorrected energy, the calculation gives -14.530 eV/f.u. The space group is F-43m.

a b c (Å): 4.4746 4.4746 4.4746
angles (deg): 60.00 60.00 60.00
Positions (direct):
Ga 0.0000 0.0000 0.0000
Sb 0.5000 0.5000 0.5000
Pt 0.2500 0.2500 0.2500

***

Entry 3:
Density functional theory data (PBE-GGA) for a geometry-optimized ErNpCo structure.

Values from the calculation:
For the formation energy, the calculation gives 0.2918 eV per atom. For the uncorrected energy, the calculation gives -23.564 eV/f.u. The space group is F-43m.

a b c (Å): 4.5606 4.5606 4.5606
angles (deg): 60.00 60.00 60.00
Positions (direct):
Er 0.0000 0.0000 0.0000
Np 0.5000 0.5000 0.5000
Co 0.2500 0.2500 0.2500